[1]
{"formula": "AlHgNF2", "functional": "PBE-GGA", "state": "optimized geometry", "raw_formation_energy_ev_per_atom": 0.078, "final_energy_ev_per_atom": -3.1449, "dos_ef_per_ev_cell": 1.42, "polymorph_energy_mev_per_atom": 1441.0, "cell": [[4.7664, 0.0000, 0.0000], [0.0000, 4.7664, 0.0000], [0.0000, 0.0000, 4.1694]], "species": ["N", "F", "F", "Hg", "Al"], "frac_coords": [[0.0000, 0.0000, 0.5000], [0.0000, 0.5000, 0.0000], [0.5000, 0.0000, 0.0000], [0.0000, 0.0000, 0.0000], [0.5000, 0.5000, 0.5000]]}

[2]
{"formula": "AlHgNF2", "functional": "PBE-GGA", "state": "optimized geometry", "raw_formation_energy_ev_per_atom": -1.363, "final_energy_ev_per_atom": -4.5859, "dos_ef_per_ev_cell": 0.41, "polymorph_energy_mev_per_atom": 0.0, "cell": [[-2.4453, -1.4009, -2.4181], [2.4914, 0.3625, -2.7295], [1.4325, -3.8702, 0.7936]], "species": ["N", "F", "F", "Hg", "Al"], "frac_coords": [[0.0000, 0.0000, 0.5000], [0.0000, 0.5000, 0.0000], [0.5000, 0.0000, 0.0000], [0.5000, 0.5000, 0.5000], [0.0000, 0.0000, 0.0000]]}

[3]
{"formula": "AlHgN2F", "functional": "PBE-GGA", "state": "optimized geometry", "raw_formation_energy_ev_per_atom": 1.307, "final_energy_ev_per_atom": -3.2062, "dos_ef_per_ev_cell": 1.65, "polymorph_energy_mev_per_atom": 1403.4, "cell": [[-1.6451, 2.0789, -3.2766], [2.7212, -1.9191, -2.5839], [-3.1979, -3.6113, -0.6857]], "species": ["N", "N", "F", "Hg", "Al"], "frac_coords": [[0.0000, 0.5000, 0.0000], [0.5000, 0.0000, 0.0000], [0.0000, 0.0000, 0.5000], [0.0000, 0.0000, 0.0000], [0.5000, 0.5000, 0.5000]]}